{"formula": "Ca4In2Ga", "functional": "PBE", "state": "relaxed", "lattice_angstrom": [[-2.872, 2.872, 7.713], [2.872, -2.872, 7.713], [2.872, 2.872, -7.713]], "species": ["Ca", "Ca", "Ca", "Ca", "In", "In", "Ga"], "fractional_positions": [[0.000, 0.500, 0.500], [0.189, 0.189, 0.000], [0.500, 0.000, 0.500], [0.811, 0.811, 0.000], [0.394, 0.394, 0.000], [0.606, 0.606, 0.000], [0.000, 0.000, 0.000]], "polymorph_energy_ev_per_atom": 0.223}

***

{"formula": "CaInGa2", "functional": "PBE", "state": "relaxed", "lattice_angstrom": [[7.379, 0.000, 0.000], [0.000, 4.443, 0.000], [0.000, 0.000, 11.551]], "species": ["Ca", "Ca", "Ca", "Ca", "In", "In", "In", "In", "Ga", "Ga", "Ga", "Ga", "Ga", "Ga", "Ga", "Ga"], "fractional_positions": [[0.155, 0.250, 0.146], [0.345, 0.750, 0.646], [0.655, 0.250, 0.354], [0.845, 0.750, 0.854], [0.172, 0.250, 0.447], [0.328, 0.750, 0.947], [0.672, 0.250, 0.053], [0.828, 0.750, 0.553], [0.016, 0.250, 0.665], [0.151, 0.250, 0.864], [0.349, 0.750, 0.364], [0.484, 0.750, 0.165], [0.516, 0.250, 0.835], [0.651, 0.250, 0.636], [0.849, 0.750, 0.136], [0.984, 0.750, 0.335]]}

***

no.,energy (eV per atom),E_form (meV/atom),M_tot (μB/cell)
1,-2.49,-128,0.000
2,-3.05,-347,0.000